No. 1
# Sc2BeNb

Crystalline Sc2BeNb at its relaxed geometry (PBE-GGA, the Alexandria database).

Calculated values
Formation energy in eV per atom: 0.433
M_tot in μB per atom: 0.000
Calculated density in g/cm³: 4.3
Density of states at the Fermi level in states/eV per atom: 1.626

Cell: 7.3679 7.3679 5.4955 Å, 90.00 90.00 90.00°
Last column: nearest neighbours and their distance in Å.
Element x y z (fractional)
Sc: 0.2118 0.7500 0.1250  2 Be 2.51, 2 Sc 2.80
Sc: 0.2500 0.2118 0.8750  2 Be 2.51, 2 Sc 2.80
Sc: 0.2500 0.2882 0.3750  2 Be 2.51, 2 Sc 2.80
Sc: 0.2882 0.7500 0.6250  2 Be 2.51, 2 Sc 2.80
Sc: 0.7118 0.2500 0.6250  2 Be 2.51, 2 Sc 2.80
Sc: 0.7500 0.7118 0.3750  2 Be 2.51, 2 Sc 2.80
Sc: 0.7500 0.7882 0.8750  2 Be 2.51, 2 Sc 2.80
Sc: 0.7882 0.2500 0.1250  2 Be 2.51, 2 Sc 2.80
Be: 0.0000 0.0000 0.0000  4 Sc 2.51, 2 Nb 2.75
Be: 0.0000 0.5000 0.2500  4 Sc 2.51, 2 Nb 2.75
Be: 0.5000 0.0000 0.7500  4 Sc 2.51, 2 Nb 2.75
Be: 0.5000 0.5000 0.5000  4 Sc 2.51, 2 Nb 2.75
Nb: 0.0000 0.0000 0.5000  2 Be 2.75, 4 Sc 2.89
Nb: 0.0000 0.5000 0.7500  2 Be 2.75, 4 Sc 2.89
Nb: 0.5000 0.0000 0.2500  2 Be 2.75, 4 Sc 2.89
Nb: 0.5000 0.5000 0.0000  2 Be 2.75, 4 Sc 2.89

***

No. 2
# RbScC

Crystalline RbScC at its relaxed geometry (PBE-GGA, the Alexandria database).

Calculated values
Formation energy in eV per atom: 0.030
M_tot in μB per atom: 0.083
Calculated density in g/cm³: 2.5
Density of states at the Fermi level in states/eV per atom: 0.600

Cell: 3.5999 4.1670 13.8487 Å, 90.77 95.13 115.19°
Last column: nearest neighbours and their distance in Å.
Element x y z (fractional)
Rb: 0.0000 0.0000 0.0000  2 Rb 3.60
Rb: 0.3248 0.4573 0.6662  2 Rb 3.60
Sc: 0.5622 0.9477 0.4060  3 C 2.17-2.32
Sc: 0.7911 0.5028 0.2602  3 C 2.17-2.32
C: 0.0847 0.0610 0.3069  1 C 1.40
C: 0.2685 0.3894 0.3593  1 C 1.40

***

No. 3
# ZnCu5Au2

Crystalline ZnCu5Au2 at its relaxed geometry (PBE-GGA, the Alexandria database).

Calculated values
Formation energy in eV per atom: -0.037
M_tot in μB per atom: 0.000
Calculated density in g/cm³: 11.7
Density of states at the Fermi level in states/eV per atom: 0.255

Cell: 4.0192 4.0192 13.6925 Å, 90.00 90.00 90.00°
Last column: nearest neighbours and their distance in Å.
Element x y z (fractional)
Zn: 0.0000 0.0000 0.0000  12 Cu 2.54-2.84
Zn: 0.5000 0.5000 0.5000  12 Cu 2.54-2.84
Cu: 0.0000 0.0000 0.5000  8 Cu 2.54, 4 Zn 2.84
Cu: 0.0000 0.5000 0.1138  6 Cu 2.54-2.84, 2 Zn 2.54, 4 Au 2.73-2.75
Cu: 0.0000 0.5000 0.3862  6 Cu 2.54-2.84, 2 Zn 2.54, 4 Au 2.73-2.75
Cu: 0.0000 0.5000 0.6138  6 Cu 2.54-2.84, 2 Zn 2.54, 4 Au 2.73-2.75
Cu: 0.0000 0.5000 0.8862  6 Cu 2.54-2.84, 2 Zn 2.54, 4 Au 2.73-2.75
Cu: 0.5000 0.0000 0.1138  6 Cu 2.54-2.84, 2 Zn 2.54, 4 Au 2.73-2.75
Cu: 0.5000 0.0000 0.3862  6 Cu 2.54-2.84, 2 Zn 2.54, 4 Au 2.73-2.75
Cu: 0.5000 0.0000 0.6138  6 Cu 2.54-2.84, 2 Zn 2.54, 4 Au 2.73-2.75
Cu: 0.5000 0.0000 0.8862  6 Cu 2.54-2.84, 2 Zn 2.54, 4 Au 2.73-2.75
Cu: 0.5000 0.5000 0.0000  8 Cu 2.54, 4 Zn 2.84
Au: 0.0000 0.0000 0.2507  8 Cu 2.73-2.75, 4 Au 2.84
Au: 0.0000 0.0000 0.7493  8 Cu 2.73-2.75, 4 Au 2.84
Au: 0.5000 0.5000 0.2493  8 Cu 2.73-2.75, 4 Au 2.84
Au: 0.5000 0.5000 0.7507  8 Cu 2.73-2.75, 4 Au 2.84

***

No. 4
# Rb3InBr6

Crystalline Rb3InBr6 at its relaxed geometry (PBE-GGA, the Alexandria database).

Calculated values
M_tot in μB per atom: 0.000
Calculated density in g/cm³: 3.4
Density of states at the Fermi level in states/eV per atom: 0.000
Raw formation energy in eV per atom: -1.349

Cell: 8.3990 8.3990 8.3990 Å, 60.00 60.00 60.00°
Last column: nearest neighbours and their distance in Å.
Element x y z (fractional)
Rb: 0.0000 0.0000 0.0000  6 Br 3.24
Rb: 0.2500 0.2500 0.2500  12 Br 4.21
Rb: 0.7500 0.7500 0.7500  12 Br 4.21
In: 0.5000 0.5000 0.5000  6 Br 2.70
Br: 0.2724 0.2724 0.7276  1 In 2.70
Br: 0.2724 0.7276 0.2724  1 In 2.70
Br: 0.2724 0.7276 0.7276  1 In 2.70
Br: 0.7276 0.2724 0.2724  1 In 2.70
Br: 0.7276 0.2724 0.7276  1 In 2.70
Br: 0.7276 0.7276 0.2724  1 In 2.70

***

No. 5
# RbCd2B

Crystalline RbCd2B at its relaxed geometry (PBE-GGA, the Alexandria database).

Calculated values
Formation energy in eV per atom: 0.364
M_tot in μB per atom: 0.000
Calculated density in g/cm³: 4.1
Density of states at the Fermi level in states/eV per atom: 0.000

Cell: 6.8428 6.8428 11.0838 Å, 90.00 90.00 90.00°
Last column: nearest neighbours and their distance in Å.
Element x y z (fractional)
Rb: 0.0000 0.2500 0.3750  12 Cd 4.07-4.49, 4 B 4.40, 4 Rb 4.40
Rb: 0.0000 0.7500 0.6250  12 Cd 4.07-4.49, 4 Rb 4.40, 4 B 4.40
Rb: 0.5000 0.2500 0.1250  12 Cd 4.07-4.49, 4 B 4.40, 4 Rb 4.40
Rb: 0.5000 0.7500 0.8750  12 Cd 4.07-4.49, 4 Rb 4.40, 4 B 4.40
Cd: 0.0000 0.0000 0.0000  2 B 2.20
Cd: 0.0000 0.5000 0.0000  2 B 2.20
Cd: 0.2500 0.2500 0.7500  2 B 2.20
Cd: 0.2500 0.7500 0.2500  2 B 2.20
Cd: 0.5000 0.0000 0.5000  2 B 2.20
Cd: 0.5000 0.5000 0.5000  2 B 2.20
Cd: 0.7500 0.2500 0.7500  2 B 2.20
Cd: 0.7500 0.7500 0.2500  2 B 2.20
B: 0.0000 0.2500 0.8750  4 Cd 2.20
B: 0.0000 0.7500 0.1250  4 Cd 2.20
B: 0.5000 0.2500 0.6250  4 Cd 2.20
B: 0.5000 0.7500 0.3750  4 Cd 2.20

***

No. 6
# Sr2LiMg12Cd3

Crystalline Sr2LiMg12Cd3 at its relaxed geometry (PBE-GGA, the Alexandria database).

Calculated values
Formation energy in eV per atom: 0.109
M_tot in μB per atom: 0.000
Calculated density in g/cm³: 2.6
Density of states at the Fermi level in states/eV per atom: 0.520

Cell: 11.4218 11.4218 11.4218 Å, 38.49 38.49 38.49°
Last column: nearest neighbours and their distance in Å.
Element x y z (fractional)
Sr: 0.1467 0.1467 0.1467  6 Mg 3.61-3.75
Sr: 0.8533 0.8533 0.8533  6 Mg 3.61-3.75
Li: 0.5000 0.5000 0.5000  6 Mg 2.88
Mg: 0.0846 0.0846 0.6917  2 Cd 2.85, 4 Mg 2.96-3.03
Mg: 0.0846 0.6917 0.0846  2 Cd 2.85, 4 Mg 2.96-3.03
Mg: 0.1435 0.5747 0.5747  1 Li 2.88, 2 Mg 3.03, 1 Cd 3.11
Mg: 0.3083 0.9154 0.9154  2 Cd 2.85, 4 Mg 2.96-3.03
Mg: 0.4253 0.4253 0.8565  1 Li 2.88, 2 Mg 3.03, 1 Cd 3.11
Mg: 0.4253 0.8565 0.4253  1 Li 2.88, 2 Mg 3.03, 1 Cd 3.11
Mg: 0.5747 0.1435 0.5747  1 Li 2.88, 2 Mg 3.03, 1 Cd 3.11
Mg: 0.5747 0.5747 0.1435  1 Li 2.88, 2 Mg 3.03, 1 Cd 3.11
Mg: 0.6917 0.0846 0.0846  2 Cd 2.85, 4 Mg 2.96-3.03
Mg: 0.8565 0.4253 0.4253  1 Li 2.88, 2 Mg 3.03, 1 Cd 3.11
Mg: 0.9154 0.3083 0.9154  2 Cd 2.85, 4 Mg 2.96-3.03
Mg: 0.9154 0.9154 0.3083  2 Cd 2.85, 4 Mg 2.96-3.03
Cd: 0.0000 0.5000 0.5000  6 Mg 2.85-3.11
Cd: 0.5000 0.0000 0.5000  6 Mg 2.85-3.11
Cd: 0.5000 0.5000 0.0000  6 Mg 2.85-3.11

***

No. 7
# ZnAgPCl2

Crystalline ZnAgPCl2 at its relaxed geometry (PBE-GGA, the Alexandria database).

Calculated values
M_tot in μB per atom: 0.392
Calculated density in g/cm³: 3.8
Density of states at the Fermi level in states/eV per atom: 0.274
Raw formation energy in eV per atom: 0.187

Cell: 5.0500 5.0500 4.7106 Å, 90.00 90.00 90.00°
Last column: nearest neighbours and their distance in Å.
Element x y z (fractional)
Zn: 0.0000 0.0000 0.0000  2 P 2.36, 4 Cl 2.52
Ag: 0.5000 0.5000 0.5000  8 Cl 3.45, 4 P 3.57
P: 0.0000 0.0000 0.5000  2 Zn 2.36
Cl: 0.0000 0.5000 0.0000  2 Zn 2.52
Cl: 0.5000 0.0000 0.0000  2 Zn 2.52

***

No. 8
# Cr2CdRh

Crystalline Cr2CdRh at its relaxed geometry (PBE-GGA, the Alexandria database).

Calculated values
Formation energy in eV per atom: 0.306
M_tot in μB per atom: 0.001
Calculated density in g/cm³: 8.8
Density of states at the Fermi level in states/eV per atom: 1.326

Cell: 2.7419 4.0368 5.4590 Å, 90.00 90.00 90.00°
Last column: nearest neighbours and their distance in Å.
Element x y z (fractional)
Cr: 0.0000 0.0000 0.1850  1 Cr 2.02
Cr: 0.0000 0.0000 0.8150  1 Cr 2.02
Cd: 0.5000 0.5000 0.5000  2 Rh 2.73, 2 Cd 2.74, 8 Cr 2.98
Rh: 0.5000 0.5000 0.0000  8 Cr 2.64, 2 Cd 2.73, 2 Rh 2.74

***

No. 9
# Pd2PtAu

Crystalline Pd2PtAu at its relaxed geometry (PBE-GGA, the Alexandria database).

Calculated values
Formation energy in eV per atom: -0.040
M_tot in μB per atom: 0.099
Calculated density in g/cm³: 15.6
Density of states at the Fermi level in states/eV per atom: 1.922

Cell: 2.8291 2.8291 8.0266 Å, 90.00 90.00 90.00°
Last column: nearest neighbours and their distance in Å.
Element x y z (fractional)
Pd: 0.0000 0.0000 0.2428  4 Pt 2.79, 4 Pd 2.83, 4 Au 2.87
Pd: 0.0000 0.0000 0.7572  4 Pt 2.79, 4 Pd 2.83, 4 Au 2.87
Pt: 0.5000 0.5000 0.0000  8 Pd 2.79, 4 Pt 2.83
Au: 0.5000 0.5000 0.5000  4 Au 2.83, 8 Pd 2.87

***

No. 10
# Dy2NiAg

Crystalline Dy2NiAg at its relaxed geometry (PBE-GGA, the Alexandria database).

Calculated values
Formation energy in eV per atom: -0.212
M_tot in μB per atom: 0.000
Calculated density in g/cm³: 8.4
Density of states at the Fermi level in states/eV per atom: 0.827

Cell: 3.9316 3.9316 21.7129 Å, 90.00 90.00 120.00°
Last column: nearest neighbours and their distance in Å.
Element x y z (fractional)
Dy: 0.0000 0.0000 0.2373  3 Ni 2.74
Dy: 0.0000 0.0000 0.7627  3 Ni 2.74
Dy: 0.3333 0.6667 0.4294  3 Ni 2.74
Dy: 0.3333 0.6667 0.9039  3 Ni 2.74
Dy: 0.6667 0.3333 0.0961  3 Ni 2.74
Dy: 0.6667 0.3333 0.5706  3 Ni 2.74
Ni: 0.0000 0.0000 0.5000  6 Dy 2.74
Ni: 0.3333 0.6667 0.1667  6 Dy 2.74
Ni: 0.6667 0.3333 0.8333  6 Dy 2.74
Ag: 0.0000 0.0000 0.0000  6 Dy 3.08
Ag: 0.3333 0.6667 0.6667  6 Dy 3.08
Ag: 0.6667 0.3333 0.3333  6 Dy 3.08